Entry 1:
RbAl3Tl | PBE | relaxed

Values from the calculation:
As for the total magnetization: 0.000 μB per atom. As for the formation energy: 700 meV/atom. The polymorph energy (0 for the lowest one) comes out at 0.0 meV/atom. Its volume is 34.944 A^3/atom. For the electronic total energy, the calculation gives -2.21 eV per atom.

abc: 5.5905 5.5905 5.5905
angles: 90.00 90.00 90.00
Positions (direct):
Tl: 0.0000 0.0000 0.0000
Al: 0.0000 0.0000 0.5000
Al: 0.0000 0.5000 0.0000
Al: 0.5000 0.0000 0.0000
Rb: 0.5000 0.5000 0.5000



Entry 2:
Rb5AlTl6 | PBE | relaxed

Values from the calculation:
As for the total magnetization: 0.000 μB per atom. As for the formation energy: -46 meV/atom. Its volume is 46.130 A^3/atom. For the electronic total energy, the calculation gives -1.94 eV per atom.

abc: 9.5713 7.7354 9.3536
angles: 65.58 78.58 61.39
Positions (direct):
Tl: 0.8174 0.9582 0.2890
Tl: 0.2913 0.0676 0.0000
Tl: 0.1826 0.0418 0.7110
Tl: 0.8174 0.2472 0.7110
Tl: 0.1826 0.7528 0.2890
Tl: 0.7087 0.9324 0.0000
Rb: 0.0000 0.6431 0.7138
Rb: 0.5000 0.5000 0.0000
Rb: 0.5000 0.7914 0.4172
Rb: 0.0000 0.3569 0.2862
Rb: 0.5000 0.2086 0.5828
Al: 0.0000 0.0000 0.0000



Entry 3:
RbAl3Tl | PBE | relaxed

Values from the calculation:
As for the total magnetization: 0.000 μB per atom. As for the formation energy: 1479 meV/atom. The polymorph energy (0 for the lowest one) comes out at 779.4 meV/atom. Its volume is 44.113 A^3/atom. For the electronic total energy, the calculation gives -1.43 eV per atom.

abc: 6.0420 6.0420 6.0420
angles: 90.00 90.00 90.00
Positions (direct):
Al: 0.5000 0.0000 0.0000
Al: 0.0000 0.5000 0.0000
Al: 0.0000 0.0000 0.5000
Rb: 0.0000 0.0000 0.0000
Tl: 0.5000 0.5000 0.5000



Entry 4:
RbAl2Tl | PBE | relaxed

Values from the calculation:
As for the total magnetization: 0.000 μB per atom. As for the formation energy: 326 meV/atom. The polymorph energy (0 for the lowest one) comes out at 0.0 meV/atom. Its volume is 36.485 A^3/atom. For the electronic total energy, the calculation gives -2.38 eV per atom.

abc: 5.4178 5.4178 10.6562
angles: 75.27 75.27 90.00
Positions (direct):
Al: 0.8750 0.1251 0.7500
Al: 0.8751 0.1250 0.2500
Al: 0.8749 0.6250 0.2500
Al: 0.3750 0.1249 0.7500
Tl: 0.7500 0.2500 0.5000
Tl: 0.0000 0.0000 0.0000
Rb: 0.5000 0.5000 0.0000
Rb: 0.2500 0.7500 0.5000



Entry 5:
RbAlTl3 | PBE | relaxed

Values from the calculation:
As for the total magnetization: 0.000 μB per atom. As for the formation energy: 114 meV/atom. The polymorph energy (0 for the lowest one) comes out at 0.0 meV/atom. Its volume is 35.511 A^3/atom. For the electronic total energy, the calculation gives -2.25 eV per atom.

abc: 5.6205 5.6205 5.6205
angles: 90.00 90.00 90.00
Positions (direct):
Tl: 0.0000 0.0000 0.5000
Tl: 0.0000 0.5000 0.0000
Tl: 0.5000 0.0000 0.0000
Al: 0.0000 0.0000 0.0000
Rb: 0.5000 0.5000 0.5000



Entry 6:
RbAl2TlW | PBE | relaxed

Values from the calculation:
As for the total magnetization: 0.000 μB per atom. As for the formation energy: 439 meV/atom. Its volume is 28.141 A^3/atom. For the electronic total energy, the calculation gives -4.32 eV per atom.

abc: 5.0811 5.4499 5.0811
angles: 90.00 90.00 90.00
Positions (direct):
Tl: 0.0000 0.5000 0.0000
W: 0.0000 0.0000 0.0000
Al: 0.0000 0.0000 0.5000
Al: 0.5000 0.0000 0.0000
Rb: 0.5000 0.5000 0.5000



Entry 7:
RbAl2V | PBE | relaxed

Values from the calculation:
As for the total magnetization: 0.825 μB per atom. As for the formation energy: 930 meV/atom. The polymorph energy (0 for the lowest one) comes out at 143.9 meV/atom. Its volume is 23.755 A^3/atom. For the electronic total energy, the calculation gives -3.46 eV per atom.

abc: 5.1220 5.1220 5.1220
angles: 60.00 60.00 60.00
Each line ends with the local moment (μB).
Positions (direct):
Al: 0.7500 0.7500 0.7500  -0.02
Al: 0.2500 0.2500 0.2500  -0.02
V: 0.0000 0.0000 0.0000  2.64
Rb: 0.5000 0.5000 0.5000  0.02



Entry 8:
RbAl2V2 | PBE | relaxed

Values from the calculation:
As for the total magnetization: 0.000 μB per atom. As for the formation energy: 546 meV/atom. The polymorph energy (0 for the lowest one) comes out at 122.1 meV/atom. Its volume is 23.279 A^3/atom. For the electronic total energy, the calculation gives -4.79 eV per atom.

abc: 3.3314 3.3314 10.7493
angles: 81.09 81.09 90.00
Positions (direct):
V: 0.2500 0.7500 0.5000
V: 0.7500 0.2500 0.5000
Rb: 0.0000 0.0000 0.0000
Al: 0.6416 0.6416 0.7169
Al: 0.3584 0.3584 0.2831



Entry 9:
RbAl2V2 | PBE | relaxed

Values from the calculation:
As for the total magnetization: 0.340 μB per atom. As for the formation energy: 935 meV/atom. The polymorph energy (0 for the lowest one) comes out at 511.2 meV/atom. Its volume is 22.205 A^3/atom. For the electronic total energy, the calculation gives -4.40 eV per atom.

abc: 4.5410 4.5410 6.2690
angles: 68.77 68.77 90.00
Each line ends with the local moment (μB).
Positions (direct):
Al: 0.2500 0.7500 0.5000  0.00
Al: 0.7500 0.2500 0.5000  0.00
V: 0.5896 0.5896 0.8208  0.68
V: 0.4104 0.4104 0.1792  0.68
Rb: 0.0000 0.0000 0.0000  0.02



Entry 10:
RbAl2V2 | PBE | relaxed

Values from the calculation:
As for the total magnetization: 0.001 μB per atom. As for the formation energy: 424 meV/atom. The polymorph energy (0 for the lowest one) comes out at 0.0 meV/atom. Its volume is 19.731 A^3/atom. For the electronic total energy, the calculation gives -4.91 eV per atom.

abc: 8.4403 8.4403 2.7696
angles: 90.00 90.00 90.00
Positions (direct):
Rb: 0.0000 0.0000 0.0000
Rb: 0.5000 0.5000 0.0000
V: 0.1009 0.3991 0.0000
V: 0.6009 0.1009 0.0000
V: 0.3991 0.8991 0.0000
V: 0.8991 0.6009 0.0000
Al: 0.8266 0.3266 0.5000
Al: 0.3266 0.1734 0.5000
Al: 0.6734 0.8266 0.5000
Al: 0.1734 0.6734 0.5000



Entry 11:
RbAlV2 | PBE | relaxed

Values from the calculation:
As for the total magnetization: 0.562 μB per atom. As for the formation energy: 1334 meV/atom. Its volume is 26.765 A^3/atom. For the electronic total energy, the calculation gives -4.40 eV per atom.

abc: 4.6445 4.6445 10.4556
angles: 77.17 77.17 90.00
Each line ends with the local moment (μB).
Positions (direct):
V: 0.3750 0.1250 0.2500  0.86
V: 0.8750 0.6250 0.7500  0.86
V: 0.3750 0.6250 0.7500  0.86
V: 0.3750 0.6250 0.2500  0.86
Rb: 0.7500 0.2500 0.5000  0.03
Rb: 0.0000 0.0000 0.0000  0.03
Al: 0.2500 0.7500 0.5000  0.00
Al: 0.5000 0.5000 0.0000  0.00



Entry 12:
RbAl2V | PBE | relaxed

Values from the calculation:
As for the total magnetization: 0.908 μB per atom. As for the formation energy: 786 meV/atom. The polymorph energy (0 for the lowest one) comes out at 0.0 meV/atom. Its volume is 34.769 A^3/atom. For the electronic total energy, the calculation gives -3.61 eV per atom.

abc: 5.5817 5.5817 9.7613
angles: 73.39 73.39 90.00
Each line ends with the local moment (μB).
Positions (direct):
Rb: 0.0000 0.0000 0.0000  0.01
Rb: 0.7500 0.2500 0.5000  0.01
Al: 0.3750 0.6251 0.7500  0.01
Al: 0.8750 0.6249 0.7500  0.01
Al: 0.3749 0.1250 0.2500  0.01
Al: 0.3751 0.6250 0.2500  0.01
V: 0.5000 0.5000 0.0000  2.67
V: 0.2500 0.7500 0.5000  2.67